Below is a relaxed structure of MgPa2VO8, with properties calculated at the GGA+U level.

Lattice parameters (Å, degrees): 4.7400 4.7398 7.0614 90.03 90.03 91.26
With the nearest neighbours (Å) after each atom.
Positions (direct):
O (0.8087, 0.1883, 0.2737)  1 V 2.05, 1 Pa 2.11
O (0.6968, 0.6968, 0.9987)  1 Mg 2.01, 2 Pa 2.19
O (0.2866, 0.2867, 0.4987)  1 V 1.90
O (0.7134, 0.7133, 0.5013)  1 V 1.90
O (0.1913, 0.8117, 0.7263)  1 V 2.05, 1 Pa 2.11
O (0.1882, 0.8088, 0.2737)  1 V 2.05, 1 Pa 2.11
O (0.3032, 0.3032, 0.0013)  1 Mg 2.01, 2 Pa 2.19
O (0.8118, 0.1912, 0.7263)  1 V 2.05, 1 Pa 2.11
Pa (0.4982, 0.4982, 0.7513)  6 O 2.11-2.27
Pa (0.5018, 0.5018, 0.2487)  6 O 2.11-2.27
V (0.0000, 0.0000, 0.5000)  6 O 1.90-2.05
Mg (0.0000, 0.0000, 0.0000)  2 O 2.01

Summary:
* VASP energy: -8.618 eV/atom
* total moment: 1.01 μB per formula unit